# 1
The following is a PBE-GGA calculation of NbGaCoRe after structural relaxation, from OQMD via LeMat-Bulk.

Values from the calculation:
Its total DFT energy (no corrections) is -132.11 eV for the cell shown. The volume comes out at 58 Å³/f.u. The calculation puts the energy above the most stable polymorph in this dataset at 0 kJ/mol of formula units.

a b c (Å): 6.1488 6.1488 6.1488
angles (deg): 90.00 90.00 90.00
Closest atoms and distances in Å follow each position.
Space group F-43m (No. 216)
Asymmetric unit:
Nb 0.0000 0.0000 0.0000 (multiplicity 4)  4 Co 2.66, 4 Re 2.66
Ga 0.0000 0.0000 0.5000 (multiplicity 4)  4 Re 2.66, 4 Co 2.66
Co 0.2500 0.2500 0.7500 (multiplicity 4)  4 Ga 2.66, 4 Nb 2.66
Re 0.2500 0.2500 0.2500 (multiplicity 4)  4 Nb 2.66, 4 Ga 2.66

# 2
The following is a PBE-GGA calculation of DyMgAsO after structural relaxation, from OQMD via LeMat-Bulk.

Values from the calculation:
Its total DFT energy (no corrections) is -46.42 eV for the cell shown. The volume comes out at 78 Å³/f.u.

a b c (Å): 3.8612 6.0165 6.6980
angles (deg): 90.00 90.00 90.00
Closest atoms and distances in Å follow each position.
Space group Pmc2_1 (No. 26)
Asymmetric unit:
Dy 0.0000 0.0451 0.0000 (multiplicity 2)  2 O 2.22-2.32
Mg 0.5000 0.3652 0.3345 (multiplicity 2)  2 O 2.09
As 0.5000 0.2231 0.7233 (multiplicity 2)  2 Mg 2.59-2.74, 2 Dy 2.88
O 0.0000 0.2489 0.2766 (multiplicity 2)  2 Mg 2.09, 2 Dy 2.22-2.32